## ZrTlRhSe3 (GGA-PBE)

Data for ZrTlRhSe3 after structural relaxation.

Results
Symmetry ... P2_1/m (11)
Total energy ... -5.610 eV/atom
Formation energy from raw total energies ... -0.8234 eV per atom
Size of the total moment ... 0.00 Bohr magnetons per cell

Cell: 3.8542 8.8669 9.6174 Å, 111.24 90.00 90.00°
With the nearest neighbours (Å) after each atom.
Atoms (fractional coordinates):
Se 0.2500 0.7760 0.4630  3 Rh 2.45-2.62, 1 Zr 2.70
Se 0.2500 0.1100 0.8708  1 Rh 2.55, 2 Zr 2.70
Se 0.2500 0.5378 0.8538  3 Zr 2.77-2.80
Se 0.7500 0.4622 0.1462  3 Zr 2.77-2.80
Tl 0.7500 0.7784 0.7584  7 Se 3.24-3.43
Tl 0.2500 0.2216 0.2416  7 Se 3.24-3.43
Zr 0.7500 0.3069 0.8358  6 Se 2.70-2.80
Rh 0.2500 0.0904 0.5991  4 Se 2.45-2.62
Zr 0.2500 0.6931 0.1642  6 Se 2.70-2.80
Rh 0.7500 0.9096 0.4009  4 Se 2.45-2.62
Se 0.7500 0.2240 0.5370  3 Rh 2.45-2.62, 1 Zr 2.70
Se 0.7500 0.8900 0.1292  1 Rh 2.55, 2 Zr 2.70